(1)
# NaAl2Ge2

A geometry-optimized NaAl2Ge2 structure (PBE, Alexandria).

The calculated formation energy is -0.010 eV per atom. Its energy above the most stable polymorph in this dataset is 73.1 meV/atom. The magnetic moment comes out at 0.00 Bohr magnetons per cell. The value obtained for the final energy is -3.62 eV per atom.

The space group is I4/mmm (No. 139) and the conventional cell measures 4.5009, 4.5009 and 10.7845 Å, with angles of 90.00, 90.00 and 90.00 degrees. The distinct sites, in fractional coordinates, are Na at (0.0000, 0.0000, 0.0000), Al at (0.0000, 0.0000, 0.3798) and Ge at (0.0000, 0.5000, 0.2500).

---

(2)
# AsPN3

A geometry-optimized AsPN3 structure (PBE, Alexandria).

The raw formation energy is 1.794 eV/atom. The magnetic moment comes out at 0.00 Bohr magnetons per cell. The value obtained for the final energy is -5.21 eV per atom.

The space group is Pm-3m (No. 221) and the conventional cell measures 3.7090, 3.7090 and 3.7090 Å, with angles of 90.00, 90.00 and 90.00 degrees. The distinct sites, in fractional coordinates, are As at (0.0000, 0.0000, 0.0000), P at (0.5000, 0.5000, 0.5000) and N at (0.0000, 0.0000, 0.5000).

---

(3)
# Ce4BiTe3

A geometry-optimized Ce4BiTe3 structure (PBE, Alexandria).

The raw formation energy is -1.224 eV/atom. The magnetic moment comes out at 9.08 Bohr magnetons per cell. The value obtained for the final energy is -5.85 eV per atom.

The space group is Cmmm (No. 65) and the conventional cell measures 9.0720, 12.7996 and 4.5020 Å, with angles of 90.00, 90.00 and 90.00 degrees. The distinct sites, in fractional coordinates, are Ce at (0.0000, 0.2482, 0.0000), Ce at (0.2464, 0.0000, 0.5000), Bi at (0.0000, 0.5000, 0.0000), Te at (0.0000, 0.0000, 0.0000) and Te at (0.2500, 0.2500, 0.5000).

---

(4)
# NpHgBi2

A geometry-optimized NpHgBi2 structure (PBE, Alexandria).

The calculated formation energy is -0.005 eV per atom. Its energy above the most stable polymorph in this dataset is 0.0 meV/atom. The magnetic moment comes out at 4.16 Bohr magnetons per cell. The value obtained for the final energy is -5.26 eV per atom.

The space group is P4/mmm (No. 123) and the conventional cell measures 4.9505, 4.9505 and 4.4787 Å, with angles of 90.00, 90.00 and 90.00 degrees. The distinct sites, in fractional coordinates, are Np at (0.0000, 0.0000, 0.0000), Hg at (0.5000, 0.5000, 0.0000) and Bi at (0.0000, 0.5000, 0.5000).

---

(5)
# Ba2PaHgS5

A geometry-optimized Ba2PaHgS5 structure (PBE, Alexandria).

The raw formation energy is -1.530 eV/atom. The magnetic moment comes out at 3.85 Bohr magnetons per cell. The value obtained for the final energy is -5.34 eV per atom.

The space group is Cmc2_1 (No. 36) and the conventional cell measures 4.1894, 18.3335 and 12.9942 Å, with angles of 90.00, 90.00 and 90.00 degrees. The distinct sites, in fractional coordinates, are Ba at (0.0000, 0.1125, 0.0000), Ba at (0.0000, 0.1279, 0.6241), Pa at (0.0000, 0.2065, 0.3249), Hg at (0.0000, 0.4592, 0.7611), S at (0.0000, 0.0587, 0.3724), S at (0.0000, 0.2882, 0.9629), S at (0.0000, 0.3041, 0.6846), S at (0.0000, 0.3513, 0.3162) and S at (0.0000, 0.4965, 0.0825).

---

(6)
# AlGe

A geometry-optimized AlGe structure (PBE, Alexandria).

The calculated formation energy is 0.089 eV per atom. The magnetic moment comes out at 0.00 Bohr magnetons per cell. The value obtained for the final energy is -4.09 eV per atom.

The space group is Cm (No. 8) and the conventional cell measures 8.0562, 2.9734 and 10.5368 Å, with angles of 90.00, 100.31 and 90.00 degrees. The distinct sites, in fractional coordinates, are Al at (0.0000, 0.0000, 0.0000), Al at (0.1292, 0.0000, 0.6668), Al at (0.2883, 0.0000, 0.3333), Ge at (0.0880, 0.5000, 0.4519), Ge at (0.2554, 0.5000, 0.1189) and Ge at (0.4294, 0.0000, 0.7853).

---

(7)
# Tb3Dy5In

A geometry-optimized Tb3Dy5In structure (PBE, Alexandria).

The calculated formation energy is 0.409 eV per atom. The magnetic moment comes out at 0.00 Bohr magnetons per cell. The value obtained for the final energy is -4.00 eV per atom.

The space group is C2/m (No. 12) and the conventional cell measures 13.4792, 7.8189 and 11.4085 Å, with angles of 90.00, 95.65 and 90.00 degrees. The distinct sites, in fractional coordinates, are Tb at (0.0000, 0.0000, 0.0000), Tb at (0.0000, 0.0000, 0.5000), Tb at (0.1631, 0.5000, 0.2149), Tb at (0.2359, 0.5000, 0.5268), Dy at (0.0000, 0.3314, 0.0000), Dy at (0.0036, 0.5000, 0.3685), Dy at (0.1271, 0.2114, 0.7611), Dy at (0.2399, 0.0000, 0.0341) and In at (0.0972, 0.0000, 0.2564).

---

(8)
# Si3PI

A geometry-optimized Si3PI structure (PBE, Alexandria).

The raw formation energy is 0.892 eV/atom. The magnetic moment comes out at 0.00 Bohr magnetons per cell. The value obtained for the final energy is -3.75 eV per atom.

The space group is Pm-3m (No. 221) and the conventional cell measures 4.7585, 4.7585 and 4.7585 Å, with angles of 90.00, 90.00 and 90.00 degrees. The distinct sites, in fractional coordinates, are Si at (0.0000, 0.0000, 0.5000), P at (0.0000, 0.0000, 0.0000) and I at (0.5000, 0.5000, 0.5000).

---

One value per record, in order, for ρ: 3.4; 4.8; 7.3; 12.9; 5.8; 4.0; 7.8; 3.7 g cm⁻³.
One value per record, in order, for volume: 218; 51; 523; 110; 998; 248; 1197; 108 Å³/cell.
One value per record, in order, for D(E_F): 0.30; 0.32; 3.69; 3.22; 0.64; 0.31; 1.40; 1.00 states/eV per atom.